No. 1
The following is a DFT calculation (PBE) of crystalline AcNdAs at its relaxed geometry.

a = 7.0458 Å, b = 4.2376 Å, c = 4.2376 Å
α = 120.00°, β = 90.00°, γ = 90.00°
Positions (direct):
Ac: 0.7378 0.6667 0.3333
As: 0.0155 0.0000 0.0000
Nd: 0.2468 0.3333 0.6667

Calculated values
space-group type: P3m1, No. 156
relative energy among the computed polymorphs: 0 meV per atom
formation energy: -0.83 eV/atom

=====

No. 2
The following is a DFT calculation (PBE) of crystalline Ba6Cd2HgPt at its relaxed geometry.

a = 8.1984 Å, b = 9.2815 Å, c = 12.1683 Å
α = 90.00°, β = 87.42°, γ = 90.00°
Positions (direct):
Ba: 0.3528 0.6947 0.4341
Ba: 0.3202 0.6663 0.0610
Ba: 0.8528 0.8053 0.9341
Ba: 0.3542 0.9625 0.7400
Ba: 0.8542 0.5375 0.2400
Ba: 0.6798 0.3337 0.9390
Ba: 0.1458 0.4625 0.7600
Ba: 0.1798 0.1663 0.4390
Ba: 0.6458 0.0375 0.2600
Ba: 0.1472 0.1947 0.0659
Ba: 0.6472 0.3053 0.5659
Ba: 0.8202 0.8337 0.5610
Cd: 0.9415 0.1173 0.7457
Cd: 0.4415 0.3827 0.2457
Cd: 0.5585 0.6173 0.7543
Cd: 0.0585 0.8827 0.2543
Hg: 0.5000 0.0000 0.0000
Hg: 0.0000 0.5000 0.5000
Pt: 0.5000 0.0000 0.5000
Pt: 0.0000 0.5000 0.0000

Calculated values
space-group type: P2_1/c, No. 14
formation energy: -0.38 eV/atom

=====

No. 3
The following is a DFT calculation (PBE) of crystalline NbPbSe3 at its relaxed geometry.

a = 5.0954 Å, b = 5.0954 Å, c = 5.0954 Å
α = 90.00°, β = 90.00°, γ = 90.00°
Positions (direct):
Se: 0.0000 0.5000 0.0000
Se: 0.5000 0.0000 0.0000
Se: 0.0000 0.0000 0.5000
Pb: 0.5000 0.5000 0.5000
Nb: 0.0000 0.0000 0.0000

Calculated values
space-group type: Pm-3m, No. 221
energy relative to the elements, uncorrected: -0.34 eV/atom
relative energy among the computed polymorphs: 245 meV per atom

=====

No. 4
The following is a DFT calculation (PBE) of crystalline MgFe2Ag at its relaxed geometry.

a = 4.9110 Å, b = 4.9110 Å, c = 2.7377 Å
α = 90.00°, β = 90.00°, γ = 114.81°
Positions (direct):
Fe: 0.0000 0.0000 0.0000
Fe: 0.5000 0.5000 0.0000
Mg: 0.5000 0.0000 0.5000
Ag: 0.0000 0.5000 0.5000

Calculated values
space-group type: Cmmm, No. 65
formation energy: 0.32 eV/atom

=====

No. 5
The following is a DFT calculation (PBE) of crystalline BeCdSi2O6 at its relaxed geometry.

a = 5.4690 Å, b = 7.0019 Å, c = 7.0019 Å
α = 88.29°, β = 71.24°, γ = 71.24°
Positions (direct):
Cd: 0.2500 0.8700 0.1300
Cd: 0.7500 0.1300 0.8700
Si: 0.6495 0.2180 0.3862
Si: 0.3505 0.7820 0.6138
Si: 0.8505 0.6138 0.7820
Si: 0.1495 0.3862 0.2180
O: 0.6984 0.7784 0.9839
O: 0.4582 0.8190 0.3758
O: 0.3873 0.3563 0.3225
O: 0.8016 0.0161 0.2216
O: 0.1984 0.9839 0.7784
O: 0.5418 0.1810 0.6242
O: 0.3016 0.2216 0.0161
O: 0.1127 0.6775 0.6437
O: 0.0418 0.6242 0.1810
O: 0.6127 0.6437 0.6775
O: 0.8873 0.3225 0.3563
O: 0.9582 0.3758 0.8190
Be: 0.2500 0.2042 0.7958
Be: 0.7500 0.7958 0.2042

Calculated values
space-group type: C2/c, No. 15
energy relative to the elements, uncorrected: -2.44 eV/atom

=====

No. 6
The following is a DFT calculation (PBE) of crystalline NdSmGe at its relaxed geometry.

a = 4.5189 Å, b = 4.5191 Å, c = 8.8671 Å
α = 104.74°, β = 104.74°, γ = 90.00°
Positions (direct):
Ge: 0.1336 0.1336 0.7674
Ge: 0.8664 0.8664 0.2326
Nd: 0.6813 0.6813 0.8625
Nd: 0.3187 0.3187 0.1375
Sm: 0.0000 0.5000 0.5000
Sm: 0.5000 0.0000 0.5000

Calculated values
space-group type: I4/mmm, No. 139
relative energy among the computed polymorphs: 0 meV per atom
formation energy: -0.61 eV/atom

=====

No. 7
The following is a DFT calculation (PBE) of crystalline TcNi2HRh at its relaxed geometry.

a = 3.7408 Å, b = 3.7408 Å, c = 3.7875 Å
α = 90.00°, β = 90.00°, γ = 90.00°
Positions (direct):
Tc: 0.0000 0.0000 0.5000
H: 0.0000 0.0000 0.0000
Ni: 0.5000 0.0000 0.0000
Ni: 0.0000 0.5000 0.0000
Rh: 0.5000 0.5000 0.5000

Calculated values
space-group type: P4/mmm, No. 123
energy: -6.4372 eV/atom

=====

No. 8
The following is a DFT calculation (PBE) of crystalline Ac3Pm2Sn2 at its relaxed geometry.

a = 3.7839 Å, b = 8.1454 Å, c = 9.4023 Å
α = 113.62°, β = 101.61°, γ = 90.00°
Positions (direct):
Pm: 0.9153 0.8194 0.8306
Pm: 0.0847 0.1806 0.1694
Ac: 0.0000 0.5000 0.0000
Ac: 0.7777 0.2913 0.5554
Ac: 0.2223 0.7087 0.4446
Sn: 0.3992 0.1197 0.7984
Sn: 0.6008 0.8803 0.2016

Calculated values
space-group type: C2/m, No. 12
formation energy: -0.26 eV/atom